Record 1
Material: La2TcAgH
Method: DFT, PBE
State: relaxed

Values from the calculation:
SG ... P4/mmm (123)
DFT total energy ... -0.19972 Ha/atom
N(E_F) ... 2.272 states/eV per cell

a = 5.3161 Å, b = 5.3161 Å, c = 3.6715 Å
α = 90.00°, β = 90.00°, γ = 90.00°
Last column: nearest neighbours and their distance in Å.
Positions (direct):
La1 0.0000 0.5000 0.0000  2 H 2.66
H1 0.0000 0.0000 0.0000  2 Tc 1.84
Ag1 0.5000 0.5000 0.5000  8 La 3.23
Tc1 0.0000 0.0000 0.5000  2 H 1.84
La2 0.5000 0.0000 0.0000  2 H 2.66


Record 2
Material: ZrSc2N2
Method: DFT, PBE
State: relaxed

Values from the calculation:
SG ... R-3m (166)
N(E_F) ... 2.170 states/eV per cell
Energy relative to the elements, uncorrected ... -1.49 eV per atom
Excess energy over the best structure of this formula in the dataset ... 16.4 meV/atom

a = 3.2523 Å, b = 3.2523 Å, c = 8.2142 Å
α = 78.58°, β = 78.58°, γ = 60.00°
Last column: nearest neighbours and their distance in Å.
Positions (direct):
Sc1 0.7720 0.7720 0.6840  3 N 2.21
N1 0.3904 0.3904 0.8288  3 Sc 2.21, 3 Zr 2.32
N2 0.6096 0.6096 0.1712  3 Sc 2.21, 3 Zr 2.32
Zr1 0.0000 0.0000 0.0000  6 N 2.32
Sc2 0.2280 0.2280 0.3160  3 N 2.21


Record 3
Material: La3MgGe6Pd2
Method: DFT, PBE
State: relaxed

Values from the calculation:
SG ... P-3m1 (164)
E_form ... -0.50 eV per atom
N(E_F) ... 5.961 states/eV per cell

a = 6.1613 Å, b = 6.1613 Å, c = 8.3657 Å
α = 90.00°, β = 90.00°, γ = 120.00°
Last column: nearest neighbours and their distance in Å.
Positions (direct):
Pd1 0.3333 0.6667 0.0278  3 Ge 2.60
La1 0.0000 0.0000 0.0000  6 Ge 3.14
Ge1 0.1937 0.3875 0.2824  2 Ge 2.58, 1 Pd 2.60, 1 Mg 2.75
Mg1 0.0000 0.0000 0.5000  6 Ge 2.75
Ge2 0.8063 0.6125 0.7176  2 Ge 2.58, 1 Pd 2.60, 1 Mg 2.75
La2 0.3333 0.6667 0.6334  9 Ge 3.17-3.29, 1 Pd 3.30
Ge3 0.1937 0.8063 0.2824  2 Ge 2.58, 1 Pd 2.60, 1 Mg 2.75
Ge4 0.8063 0.1937 0.7176  2 Ge 2.58, 1 Pd 2.60, 1 Mg 2.75
La3 0.6667 0.3333 0.3666  9 Ge 3.17-3.29, 1 Pd 3.30
Pd2 0.6667 0.3333 0.9722  3 Ge 2.60
Ge5 0.6125 0.8063 0.2824  2 Ge 2.58, 1 Pd 2.60, 1 Mg 2.75
Ge6 0.3875 0.1937 0.7176  2 Ge 2.58, 1 Pd 2.60, 1 Mg 2.75


Record 4
Material: NaPrNp4N8
Method: DFT, PBE
State: relaxed

Values from the calculation:
SG ... R3m (160)
N(E_F) ... 20.166 states/eV per cell
Energy relative to the elements, uncorrected ... -0.93 eV per atom

a = 6.9100 Å, b = 6.9100 Å, c = 6.6924 Å
α = 58.92°, β = 58.92°, γ = 60.00°
Last column: nearest neighbours and their distance in Å.
Positions (direct):
N1 0.2475 0.8116 0.6934  2 Np 2.14, 1 Pr 2.39
Pr1 0.3859 0.3859 0.8424  4 N 2.39-2.45
N2 0.2151 0.7425 0.2999  3 Np 2.23-2.25, 1 Na 2.47
Np1 0.4977 0.0010 0.5003  6 N 2.14-2.33
Na1 0.9987 0.9987 0.0039  6 N 2.41-2.47
N3 0.7595 0.7595 0.7216  4 Np 2.32-2.33
Np2 0.0010 0.0010 0.5003  6 N 2.14-2.33
Np3 0.6157 0.6157 0.1528  4 N 2.25-2.32
Np4 0.0010 0.4977 0.5003  6 N 2.14-2.33
N4 0.2475 0.2475 0.6934  2 Np 2.14, 1 Pr 2.39
N5 0.7425 0.7425 0.2999  3 Np 2.23-2.25, 1 Na 2.47
N6 0.7425 0.2151 0.2999  3 Np 2.23-2.25, 1 Na 2.47
N7 0.8116 0.2475 0.6934  2 Np 2.14, 1 Pr 2.39
N8 0.2338 0.2338 0.2985  3 Np 2.26, 1 Pr 2.45


Record 5
Material: CoSe2Br
Method: DFT, PBE
State: relaxed

Values from the calculation:
SG ... R3m (160)
N(E_F) ... 3.421 states/eV per cell
Energy relative to the elements, uncorrected ... 0.13 eV per atom
Excess energy over the best structure of this formula in the dataset ... 334.1 meV/atom

a = 8.1665 Å, b = 8.1665 Å, c = 8.1665 Å
α = 26.98°, β = 26.98°, γ = 26.98°
Last column: nearest neighbours and their distance in Å.
Positions (direct):
Se1 0.6418 0.6418 0.6418  3 Co 2.30
Co1 0.0029 0.0029 0.0029  4 Se 2.12-2.30
Se2 0.0925 0.0925 0.0925  1 Co 2.12
Br1 0.5138 0.5138 0.5138  4 Se 3.02


Record 6
Material: BaSr
Method: DFT, PBE
State: relaxed

Values from the calculation:
SG ... I4_1/amd (141)
E_form ... 0.01 eV per atom
N(E_F) ... 5.197 states/eV per cell
Excess energy over the best structure of this formula in the dataset ... 14.7 meV/atom

a = 7.5858 Å, b = 7.5858 Å, c = 7.5858 Å
α = 131.86°, β = 131.86°, γ = 70.44°
Last column: nearest neighbours and their distance in Å.
Positions (direct):
Ba1 0.0000 0.0000 0.0000  8 Sr 4.38, 4 Ba 4.38
Ba2 0.2500 0.7500 0.5000  8 Sr 4.38, 4 Ba 4.38
Sr1 0.7500 0.2500 0.5000  8 Ba 4.38, 4 Sr 4.38
Sr2 0.5000 0.5000 0.0000  8 Ba 4.38, 4 Sr 4.38


Copy entry 1 word for word.
Material: La2TcAgH
Method: DFT, PBE
State: relaxed

Values from the calculation:
SG ... P4/mmm (123)
DFT total energy ... -0.19972 Ha/atom
N(E_F) ... 2.272 states/eV per cell

a = 5.3161 Å, b = 5.3161 Å, c = 3.6715 Å
α = 90.00°, β = 90.00°, γ = 90.00°
Last column: nearest neighbours and their distance in Å.
Positions (direct):
La1 0.0000 0.5000 0.0000  2 H 2.66
H1 0.0000 0.0000 0.0000  2 Tc 1.84
Ag1 0.5000 0.5000 0.5000  8 La 3.23
Tc1 0.0000 0.0000 0.5000  2 H 1.84
La2 0.5000 0.0000 0.0000  2 H 2.66


Please write out number 3 again, unchanged.
Material: La3MgGe6Pd2
Method: DFT, PBE
State: relaxed

Values from the calculation:
SG ... P-3m1 (164)
E_form ... -0.50 eV per atom
N(E_F) ... 5.961 states/eV per cell

a = 6.1613 Å, b = 6.1613 Å, c = 8.3657 Å
α = 90.00°, β = 90.00°, γ = 120.00°
Last column: nearest neighbours and their distance in Å.
Positions (direct):
Pd1 0.3333 0.6667 0.0278  3 Ge 2.60
La1 0.0000 0.0000 0.0000  6 Ge 3.14
Ge1 0.1937 0.3875 0.2824  2 Ge 2.58, 1 Pd 2.60, 1 Mg 2.75
Mg1 0.0000 0.0000 0.5000  6 Ge 2.75
Ge2 0.8063 0.6125 0.7176  2 Ge 2.58, 1 Pd 2.60, 1 Mg 2.75
La2 0.3333 0.6667 0.6334  9 Ge 3.17-3.29, 1 Pd 3.30
Ge3 0.1937 0.8063 0.2824  2 Ge 2.58, 1 Pd 2.60, 1 Mg 2.75
Ge4 0.8063 0.1937 0.7176  2 Ge 2.58, 1 Pd 2.60, 1 Mg 2.75
La3 0.6667 0.3333 0.3666  9 Ge 3.17-3.29, 1 Pd 3.30
Pd2 0.6667 0.3333 0.9722  3 Ge 2.60
Ge5 0.6125 0.8063 0.2824  2 Ge 2.58, 1 Pd 2.60, 1 Mg 2.75
Ge6 0.3875 0.1937 0.7176  2 Ge 2.58, 1 Pd 2.60, 1 Mg 2.75